Ag2SbP (PBE-GGA, optimized geometry); volume = 80.3 Å³ per cell; uncorrected formation energy = 237 meV/atom; excess energy over the best structure of this formula in the dataset = 20 meV/atom; spin magnetization = 0.0 μB per formula unit
1.0
-0.553 -3.921 0.213
2.069 -0.174 2.164
-3.762 0.842 5.734
Sb Ag P
1 2 1
Direct
0.500 0.561 0.755
0.500 0.306 0.262
0.000 0.921 0.031
0.000 0.713 0.452

---

AgSb2P2 (PBE-GGA, optimized geometry); volume = 223.2 Å³ per cell; uncorrected formation energy = 344 meV/atom; excess energy over the best structure of this formula in the dataset = 0 meV/atom; spin magnetization = 0.0 μB per formula unit
1.0
-7.101 -2.981 -0.590
2.851 -6.014 -3.921
0.510 -1.851 3.210
P Sb Ag
4 4 2
Direct
0.175 0.325 0.000
0.825 0.675 0.000
0.675 0.175 0.000
0.325 0.825 0.000
0.161 0.661 0.500
0.661 0.839 0.500
0.839 0.339 0.500
0.339 0.161 0.500
0.000 0.000 0.000
0.500 0.500 0.000

---

AgSbP (PBE-GGA, optimized geometry); volume = 124.2 Å³ per cell; uncorrected formation energy = 350 meV/atom; excess energy over the best structure of this formula in the dataset = 187 meV/atom; spin magnetization = 0.0 μB per formula unit
1.0
-4.556 -0.515 2.115
3.940 -2.571 1.834
1.145 4.253 3.501
P Sb Ag
2 2 2
Direct
0.333 0.667 0.250
0.667 0.333 0.750
0.333 0.667 0.750
0.667 0.333 0.250
0.000 0.000 0.500
0.000 0.000 0.000

---

AgSbP (PBE-GGA, optimized geometry); volume = 74.7 Å³ per cell; uncorrected formation energy = 312 meV/atom; excess energy over the best structure of this formula in the dataset = 149 meV/atom; spin magnetization = 0.0 μB per formula unit
1.0
6.572 0.022 0.029
4.639 4.656 -0.029
-5.403 -2.825 2.455
P Ag Sb
1 1 1
Direct
0.442 0.442 0.000
0.906 0.906 0.000
0.652 0.652 0.000

---

Ag2SbP (PBE-GGA, optimized geometry); volume = 80.1 Å³ per cell; uncorrected formation energy = 315 meV/atom; excess energy over the best structure of this formula in the dataset = 98 meV/atom; spin magnetization = 0.0 μB per formula unit
1.0
4.022 0.000 0.000
0.000 4.144 0.000
0.000 0.000 4.804
Ag Sb P
2 1 1
Direct
0.000 0.000 0.000
0.500 0.500 0.000
0.000 0.500 0.500
0.500 0.000 0.500

---

AgSbP2 (PBE-GGA, optimized geometry); volume = 199.0 Å³ per cell; uncorrected formation energy = 213 meV/atom; spin magnetization = 0.0 μB per formula unit
1.0
5.888 0.000 0.000
0.000 5.888 0.000
2.944 2.944 5.738
Sb P Ag
2 4 2
Direct
0.000 0.000 0.000
0.750 0.250 0.500
0.132 0.625 0.250
0.618 0.125 0.250
0.375 0.382 0.750
0.875 0.868 0.750
0.500 0.500 0.000
0.250 0.750 0.500

---

AgSbP (PBE-GGA, optimized geometry); volume = 282.5 Å³ per cell; uncorrected formation energy = 196 meV/atom; excess energy over the best structure of this formula in the dataset = 33 meV/atom; spin magnetization = 0.0 μB per formula unit
1.0
-2.531 0.064 -2.780
0.281 -9.956 -0.483
-5.568 -0.402 5.060
Ag Sb P
4 4 4
Direct
0.750 0.884 0.000
0.750 0.384 0.500
0.250 0.116 0.000
0.250 0.616 0.500
0.250 0.656 0.876
0.750 0.844 0.376
0.750 0.344 0.124
0.250 0.156 0.624
0.250 0.016 0.301
0.250 0.516 0.199
0.750 0.984 0.699
0.750 0.484 0.801

---

AgSbP2 (PBE-GGA, optimized geometry); volume = 83.1 Å³ per cell; uncorrected formation energy = 277 meV/atom; spin magnetization = 0.0 μB per formula unit
1.0
-6.410 -3.572 -2.184
-3.370 -6.860 -0.451
3.783 5.732 3.384
Sb Ag P
1 1 2
Direct
0.443 0.443 0.000
0.788 0.288 0.500
0.186 0.686 0.500
0.083 0.083 0.000

---

AgSbP2 (PBE-GGA, optimized geometry); volume = 79.4 Å³ per cell; uncorrected formation energy = 564 meV/atom; spin magnetization = 0.0 μB per formula unit
1.0
-1.668 1.091 -2.698
-1.907 -2.189 1.680
-2.871 5.604 4.041
P Ag Sb
2 1 1
Direct
0.000 0.000 0.987
0.000 0.000 0.513
0.500 0.500 0.750
0.500 0.500 0.250

---

AgSbP2 (PBE-GGA, optimized geometry); volume = 79.3 Å³ per cell; uncorrected formation energy = 323 meV/atom; spin magnetization = 0.0 μB per formula unit
1.0
4.691 -0.023 -0.039
-1.610 4.405 0.044
1.471 2.233 3.850
P Sb Ag
2 1 1
Direct
0.500 0.000 0.500
0.000 0.000 0.000
0.000 0.500 0.500
0.500 0.500 0.000

---

Ag2SbP (PBE-GGA, optimized geometry); volume = 81.6 Å³ per cell; uncorrected formation energy = 294 meV/atom; excess energy over the best structure of this formula in the dataset = 77 meV/atom; spin magnetization = 0.0 μB per formula unit
1.0
-1.411 -2.570 -0.534
3.056 -1.980 1.454
-2.866 0.251 6.366
Sb Ag P
1 2 1
Direct
0.500 0.500 0.776
0.500 0.500 0.275
0.000 0.000 0.027
0.000 0.000 0.422

---

Ag2SbP (PBE-GGA, optimized geometry); volume = 81.4 Å³ per cell; uncorrected formation energy = 302 meV/atom; excess energy over the best structure of this formula in the dataset = 85 meV/atom; spin magnetization = 0.0 μB per formula unit
1.0
8.327 -0.028 -0.016
7.641 3.312 -0.016
7.641 1.571 2.915
Ag P Sb
2 1 1
Direct
0.990 0.990 0.990
0.510 0.510 0.510
0.250 0.250 0.250
0.750 0.750 0.750

---

Ag2SbP (PBE-GGA, optimized geometry); volume = 83.6 Å³ per cell; uncorrected formation energy = 268 meV/atom; excess energy over the best structure of this formula in the dataset = 51 meV/atom; spin magnetization = 0.0 μB per formula unit
1.0
3.888 0.000 0.000
0.000 3.888 0.000
0.000 0.000 5.528
P Ag Sb
1 2 1
Direct
0.000 0.000 0.548
0.000 0.000 0.055
0.500 0.500 0.199
0.500 0.500 0.699

---

AgSbP2 (PBE-GGA, optimized geometry); volume = 84.3 Å³ per cell; uncorrected formation energy = 163 meV/atom; spin magnetization = 0.0 μB per formula unit
1.0
3.811 0.000 0.000
0.000 4.874 0.015
0.000 1.290 4.545
Sb Ag P
1 1 2
Direct
0.500 0.250 0.250
0.500 0.750 0.750
0.000 0.447 0.573
0.000 0.053 0.927

---

AgSbP2 (PBE-GGA, optimized geometry); volume = 76.4 Å³ per cell; uncorrected formation energy = 633 meV/atom; spin magnetization = 0.0 μB per formula unit
1.0
-1.468 -2.336 3.883
3.190 -1.782 3.056
0.531 1.967 4.306
Ag P Sb
1 2 1
Direct
0.500 0.500 0.500
0.000 0.000 0.000
0.250 0.250 0.250
0.750 0.750 0.750

---

AgSbTe2P (PBE-GGA, optimized geometry); volume = 152.0 Å³ per cell; uncorrected formation energy = 1007 meV/atom; excess energy over the best structure of this formula in the dataset = 407 meV/atom; spin magnetization = 0.0 μB per formula unit
1.0
5.364 0.000 0.000
0.000 5.364 0.000
0.000 0.000 5.285
Te Ag P Sb
2 1 1 1
Direct
0.500 0.000 0.000
0.000 0.500 0.000
0.000 0.000 0.000
0.500 0.500 0.500
0.000 0.000 0.500

---

AgSb2TeP (PBE-GGA, optimized geometry); volume = 150.7 Å³ per cell; uncorrected formation energy = 1024 meV/atom; excess energy over the best structure of this formula in the dataset = 371 meV/atom; spin magnetization = 0.0 μB per formula unit
1.0
5.307 0.000 0.000
0.000 5.307 0.000
0.000 0.000 5.350
P Sb Ag Te
1 2 1 1
Direct
0.500 0.500 0.500
0.500 0.000 0.000
0.000 0.500 0.000
0.000 0.000 0.000
0.000 0.000 0.500

---

AgSbTe2P (PBE-GGA, optimized geometry); volume = 145.6 Å³ per cell; uncorrected formation energy = 600 meV/atom; excess energy over the best structure of this formula in the dataset = 0 meV/atom; spin magnetization = 0.0 μB per formula unit
1.0
5.385 0.000 0.000
0.000 5.385 0.000
0.000 0.000 5.021
P Te Ag Sb
1 2 1 1
Direct
0.000 0.000 0.000
0.000 0.500 0.000
0.500 0.000 0.000
0.500 0.500 0.500
0.000 0.000 0.500

---

AgSb2TeP (PBE-GGA, optimized geometry); volume = 143.1 Å³ per cell; uncorrected formation energy = 653 meV/atom; excess energy over the best structure of this formula in the dataset = 0 meV/atom; spin magnetization = 0.0 μB per formula unit
1.0
-1.542 3.626 3.358
-4.708 -2.147 0.157
1.550 -3.102 4.062
Sb Te Ag P
2 1 1 1
Direct
0.000 0.500 0.000
0.500 0.000 0.000
0.000 0.000 0.500
0.500 0.500 0.500
0.000 0.000 0.000

---

ScAgP2 (PBE-GGA, optimized geometry); ΔH_f (0 K) = -30 meV/atom; volume = 72.1 Å³ per cell; spin magnetization = 0.0 μB per formula unit
1.0
7.882 -0.011 -0.007
7.197 3.215 -0.007
7.197 1.529 2.828
Ag P Sc
1 2 1
Direct
0.742 0.742 0.742
0.262 0.262 0.262
0.988 0.988 0.988
0.507 0.507 0.507